A plane-wave DFT calculation with GGA-PBE was carried out for crystalline InFeIr at its relaxed geometry.

Unit cell a=4.3512 b=4.3512 c=2.9585 alpha=90.00 beta=90.00 gamma=120.00
Last column: nearest neighbours and their distance in Å.
Fractional positions:
1 In 0.0000 0.0000 0.0000  6 Fe 2.81-3.03, 6 Ir 2.85-2.98, 2 In 2.96
2 Fe 0.6667 0.3333 0.5724  3 Ir 2.53, 3 In 2.81
3 Ir 0.3333 0.6667 0.4585  3 Fe 2.53

## Properties
- D(E_F): 0.620 states/eV per atom
- Formation energy: 0.138 eV per atom
- Calculated volume: 16.17 A^3/atom
- ΔE to the lowest computed polymorph: 44 meV per atom



A plane-wave DFT calculation with GGA-PBE was carried out for crystalline InFeIr at its relaxed geometry.

Unit cell a=4.3234 b=4.3234 c=4.3234 alpha=60.00 beta=60.00 gamma=60.00
Last column: nearest neighbours and their distance in Å.
Fractional positions:
1 In 0.0000 0.0000 0.0000  4 Ir 2.65
2 Fe 0.5000 0.5000 0.5000  4 Ir 2.65
3 Ir 0.7500 0.7500 0.7500  4 In 2.65, 4 Fe 2.65

## Properties
- D(E_F): 1.540 states/eV per atom
- Formation energy: 0.237 eV per atom
- Calculated volume: 19.05 A^3/atom
- ΔE to the lowest computed polymorph: 143 meV per atom



A plane-wave DFT calculation with GGA-PBE was carried out for crystalline InFeIr4 at its relaxed geometry.

Unit cell a=5.2068 b=5.2068 c=5.2068 alpha=60.00 beta=60.00 gamma=60.00
Last column: nearest neighbours and their distance in Å.
Fractional positions:
1 In 0.0000 0.0000 0.0000  12 Ir 3.05, 4 Fe 3.19
2 Fe 0.2500 0.2500 0.2500  12 Ir 3.05, 4 In 3.19
3 Ir 0.1255 0.6248 0.6248  6 Ir 2.60-2.61
4 Ir 0.6248 0.1255 0.6248  6 Ir 2.60-2.61
5 Ir 0.6248 0.6248 0.1255  6 Ir 2.60-2.61
6 Ir 0.6248 0.6248 0.6248  6 Ir 2.60-2.61

## Properties
- D(E_F): 1.125 states/eV per atom
- Formation energy: 0.348 eV per atom
- Calculated volume: 16.64 A^3/atom



A plane-wave DFT calculation with GGA-PBE was carried out for crystalline In4FeIr at its relaxed geometry.

Unit cell a=5.6787 b=5.6787 c=5.6787 alpha=60.00 beta=60.00 gamma=60.00
Last column: nearest neighbours and their distance in Å.
Fractional positions:
1 In 0.1248 0.1248 0.1248  6 In 2.84
2 In 0.1248 0.1248 0.6255  6 In 2.84
3 In 0.1248 0.6255 0.1248  6 In 2.84
4 In 0.6255 0.1248 0.1248  6 In 2.84
5 Fe 0.5000 0.5000 0.5000  12 In 3.33, 4 Ir 3.48
6 Ir 0.7500 0.7500 0.7500  12 In 3.33, 4 Fe 3.48

## Properties
- D(E_F): 0.868 states/eV per atom
- Formation energy: 0.911 eV per atom
- Calculated volume: 21.58 A^3/atom



A plane-wave DFT calculation with GGA-PBE was carried out for crystalline Li2InFeIr at its relaxed geometry.

Unit cell a=4.5582 b=4.5582 c=5.1254 alpha=90.00 beta=90.00 gamma=90.00
Last column: nearest neighbours and their distance in Å.
Fractional positions:
1 Li 0.0000 0.5000 0.0000  2 Ir 2.28
2 Li 0.5000 0.0000 0.0000  2 Ir 2.28
3 In 0.0000 0.0000 0.5000  2 Ir 2.56
4 Fe 0.5000 0.5000 0.5000  4 In 3.22, 8 Li 3.43
5 Ir 0.0000 0.0000 0.0000  4 Li 2.28

## Properties
- D(E_F): 1.244 states/eV per atom
- Formation energy: 0.733 eV per atom
- Calculated volume: 21.30 A^3/atom



A plane-wave DFT calculation with GGA-PBE was carried out for crystalline InFeNiIr at its relaxed geometry.

Unit cell a=4.3667 b=4.3667 c=4.3667 alpha=60.00 beta=60.00 gamma=60.00
Last column: nearest neighbours and their distance in Å.
Fractional positions:
1 In 0.0000 0.0000 0.0000  4 Ni 2.67, 4 Ir 2.67
2 Fe 0.5000 0.5000 0.5000  4 Ir 2.67, 4 Ni 2.67
3 Ni 0.2500 0.2500 0.2500  4 Fe 2.67, 4 In 2.67
4 Ir 0.7500 0.7500 0.7500  4 In 2.67, 4 Fe 2.67

## Properties
- D(E_F): 0.936 states/eV per atom
- Formation energy: 0.035 eV per atom
- Calculated volume: 14.72 A^3/atom